Record 1
Crystalline SmTlCdSe3 at its relaxed geometry. Source: the Open Quantum Materials Database, functional PBE-GGA.

```
12
Lattice="-6.111 3.305 -4.653 -2.703 -3.027 1.399 -0.449 4.794 9.507" Properties=species:S:1:pos:R:3 pbc="T T T"
Tl -6.619 1.221 -0.268
Tl -2.643 3.851 6.521
Cd -8.069 5.033 5.180
Cd -1.193 0.039 1.072
Se -8.057 3.920 2.795
Se -4.147 2.734 1.197
Se -5.115 2.338 5.056
Se -1.205 1.152 3.458
Se -5.720 6.237 5.738
Se -3.542 -1.165 0.515
Sm -5.207 4.568 3.117
Sm -4.055 0.504 3.136
```

Summary:
Magnetization (μB per formula unit): 0.002
Symmetry: P2_1/m, No. 11
ΔE to the lowest computed polymorph (eV per atom): 0.008

Record 2
Crystalline RbAlCuS3 at its relaxed geometry. Source: the Open Quantum Materials Database, functional PBE-GGA.

```
24
Lattice="-4.940 5.689 13.117 2.460 -1.883 1.743 6.456 7.626 -0.876" Properties=species:S:1:pos:R:3 pbc="T T T"
S 1.982 -0.323 2.291
S 5.038 6.046 1.232
S -1.560 3.670 7.977
S -1.062 5.386 12.752
S 1.678 2.860 6.157
S 5.535 7.762 6.007
S 2.298 8.571 7.827
S 2.305 6.360 5.427
S 1.994 11.754 11.693
S 1.670 5.072 8.557
S 1.240 8.450 12.813
S 2.736 2.981 1.171
Al 0.618 5.019 6.362
Al 3.358 6.412 7.623
Al 7.310 5.318 0.863
Al -3.334 6.113 13.121
Cu 4.411 4.142 0.061
Cu 3.922 9.327 6.351
Cu -0.435 7.289 13.923
Cu 0.054 2.105 7.634
Rb 4.225 4.133 3.939
Rb -0.359 1.406 3.837
Rb 4.334 10.025 10.147
Rb -0.249 7.298 10.046
```

Summary:
Symmetry: Pnma, No. 62
ΔE to the lowest computed polymorph (eV per atom): 0.002

Record 3
Crystalline LiCuReTe2S at its relaxed geometry. Source: the Open Quantum Materials Database, functional PBE-GGA.

```
12
Lattice="1.754 -7.026 0.000 1.754 7.026 0.000 0.000 0.000 9.407" Properties=species:S:1:pos:R:3 pbc="T T T"
S 1.754 -5.961 2.352
S 1.754 5.961 7.055
Cu 1.754 0.324 7.055
Cu 1.754 -0.324 2.352
Te 1.754 -2.084 0.461
Te 1.754 -2.084 4.242
Te 1.754 2.084 5.164
Te 1.754 2.084 8.946
Li 1.754 -3.044 7.055
Li 1.754 3.044 2.352
Re 0.000 0.000 4.703
Re 0.000 0.000 0.000
```

Summary:
Magnetization (μB per formula unit): 0.085
Symmetry: Cmcm, No. 63
E_tot (eV/atom): -4.806

Record 4
Crystalline GdDy2Co2B2N3 at its relaxed geometry. Source: the Open Quantum Materials Database, functional PBE-GGA.

```
10
Lattice="0.460 -6.131 8.232 -3.500 -3.336 9.066 0.110 3.081 -9.801" Properties=species:S:1:pos:R:3 pbc="T T T"
N -2.679 -8.342 15.242
N -1.520 -4.734 8.649
N -0.361 -1.125 2.056
Co -0.475 -3.892 3.540
Co -2.455 -2.494 3.957
Dy -1.141 -3.554 6.493
Dy -1.899 -5.913 10.805
Gd 0.000 0.000 0.000
B -0.590 -1.838 3.359
B -2.450 -7.629 13.939
```

Summary:
Magnetization (μB per formula unit): 0.026
Symmetry: I4/mmm, No. 139
E_tot (eV/atom): -7.844

Record 5
Crystalline Th3Zn8Cd3 at its relaxed geometry. Source: the Open Quantum Materials Database, functional PBE-GGA.

```
14
Lattice="-2.256 4.589 6.854 2.256 -4.589 6.854 2.256 4.589 -6.854" Properties=species:S:1:pos:R:3 pbc="T T T"
Zn 2.256 3.356 4.656
Zn 0.000 2.093 4.777
Zn 0.000 1.233 11.510
Zn 2.256 2.496 2.077
Zn 2.256 3.356 -4.656
Zn 2.256 2.496 -2.077
Zn 0.000 1.233 2.199
Zn 0.000 2.093 8.931
Th 2.256 0.000 4.008
Th 0.000 4.589 2.846
Th 2.256 0.000 0.000
Cd 0.000 2.748 0.000
Cd 0.000 0.000 6.854
Cd 0.000 6.430 0.000
```

Summary:
Magnetization (μB per formula unit): 0.020
Symmetry: Immm, No. 71
Calculated formation energy (meV per atom): -261

Record 6
Crystalline Gd2AgIr at its relaxed geometry. Source: the Open Quantum Materials Database, functional PBE-GGA.

```
4
Lattice="5.024 1.578 2.119 -5.061 -1.915 1.717 1.494 -4.271 -0.365" Properties=species:S:1:pos:R:3 pbc="T T T"
Ag 2.071 0.555 2.001
Ir 1.117 -2.170 1.751
Gd -1.614 -3.115 1.642
Gd 4.909 1.538 2.114
```

Summary:
Magnetization (μB per formula unit): 0.007
Symmetry: Amm2, No. 38
Calculated formation energy (meV per atom): -534

Record 7
Crystalline AcCd5Au2 at its relaxed geometry. Source: the Open Quantum Materials Database, functional PBE-GGA.

```
8
Lattice="-2.189 4.199 5.262 2.189 -4.199 5.262 2.189 4.199 -5.262" Properties=species:S:1:pos:R:3 pbc="T T T"
Cd 2.189 2.653 1.548
Cd 0.000 1.546 3.715
Cd 2.189 2.653 -1.548
Cd 0.000 1.546 6.810
Cd 0.000 4.199 0.000
Ac 0.000 0.000 0.000
Au 2.189 0.000 2.404
Au 0.000 4.199 2.858
```

Summary:
Magnetization (μB per formula unit): 0.000
Symmetry: Immm, No. 71
Calculated formation energy (meV per atom): -375

Record 8
Crystalline BaBiAu at its relaxed geometry. Source: the Open Quantum Materials Database, functional PBE-GGA.

```
6
Lattice="-3.101 0.453 -4.703 3.082 -4.646 0.916 -5.375 -2.923 3.262" Properties=species:S:1:pos:R:3 pbc="T T T"
Ba -5.071 -3.439 -0.383
Ba -0.322 -3.677 -0.141
Bi -2.687 -1.461 1.631
Bi 0.000 0.000 0.000
Au -2.383 -1.978 -2.014
Au -3.010 -5.138 1.490
```

Summary:
Symmetry: P6_3/mmc, No. 194
E_tot (eV/atom): -3.638

Record 9
Crystalline K2Ta at its relaxed geometry. Source: the Open Quantum Materials Database, functional PBE-GGA.

```
6
Lattice="6.271 -1.486 2.010 1.347 -6.059 2.656 3.689 -4.463 -3.471" Properties=species:S:1:pos:R:3 pbc="T T T"
Ta 2.827 -3.002 0.299
Ta 0.000 0.000 0.000
K 6.394 -4.475 -0.581
K 7.067 -7.504 0.747
K 3.931 -6.762 -0.259
K 5.222 -5.273 2.482
```

Summary:
Magnetization (μB per formula unit): 3.552
Symmetry: Fd-3m, No. 227
ΔE to the lowest computed polymorph (eV per atom): 0.545

Record 10
Crystalline Pr4Br3NCl2 at its relaxed geometry. Source: the Open Quantum Materials Database, functional PBE-GGA.

```
10
Lattice="9.092 -1.943 0.000 9.092 1.943 0.000 -2.126 0.000 8.114" Properties=species:S:1:pos:R:3 pbc="T T T"
Pr -1.691 0.000 6.455
Pr 4.580 0.000 7.459
Pr -0.435 0.000 1.659
Pr 11.478 0.000 0.655
Br 1.349 0.000 6.715
Br 8.029 0.000 4.057
Br 14.709 0.000 1.399
Cl 13.848 0.000 5.379
Cl 2.210 0.000 2.735
N 9.092 0.000 0.000
```

Summary:
Magnetization (μB per formula unit): 0.005
Symmetry: C2/m, No. 12
E_tot (eV/atom): -5.337

Record 11
Crystalline ReBr2Cl2 at its relaxed geometry. Source: the Open Quantum Materials Database, functional PBE-GGA.

```
10
Lattice="6.333 -3.333 0.000 6.333 3.333 0.000 -5.456 0.000 6.468" Properties=species:S:1:pos:R:3 pbc="T T T"
Br 5.502 0.000 5.238
Br -0.494 0.000 5.468
Br 7.705 0.000 1.000
Br 1.709 0.000 1.230
Re 6.333 2.007 0.000
Re 6.333 -2.007 0.000
Cl 4.987 -1.804 1.865
Cl 4.987 1.804 1.865
Cl 2.224 1.804 4.603
Cl 2.224 -1.804 4.603
```

Summary:
Magnetization (μB per formula unit): 1.002
Symmetry: C2/m, No. 12
E_tot (eV/atom): -4.306

Record 12
Crystalline TmPbO3 at its relaxed geometry. Source: the Open Quantum Materials Database, functional PBE-GGA.

```
20
Lattice="-4.776 3.383 1.107 -2.901 -5.729 4.990 3.195 2.354 4.560" Properties=species:S:1:pos:R:3 pbc="T T T"
Pb 0.000 0.000 0.000
Pb -0.791 2.869 2.834
Pb -1.450 -2.864 2.495
Pb -2.241 0.004 5.328
O -0.480 -1.134 5.951
O -4.002 1.143 4.706
O -1.137 0.639 3.385
O 1.237 1.213 5.425
O -1.624 1.571 6.658
O -3.345 -0.630 7.272
O -1.534 -3.215 7.764
O -3.947 -3.711 5.870
O -2.859 -1.563 3.998
O -2.948 3.223 2.893
O -5.719 -1.205 5.232
O -0.536 3.720 4.787
Tm 0.859 -0.075 3.727
Tm -1.544 -0.317 8.677
Tm -5.341 0.083 6.930
Tm -2.938 0.326 1.980
```

Summary:
Magnetization (μB per formula unit): 0.002
Symmetry: P2_1/m, No. 11
E_tot (eV/atom): -6.737

Record 13
Crystalline K6Na14Tl18Zn at its relaxed geometry. Source: the Open Quantum Materials Database, functional PBE-GGA.

```
39
Lattice="-3.134 1.147 -10.194 -7.504 -7.525 1.460 -6.995 7.558 3.001" Properties=species:S:1:pos:R:3 pbc="T T T"
Na -4.951 0.331 -1.610
Na -9.615 -2.465 -5.439
Na -6.325 0.835 -6.079
Na -8.428 1.290 2.737
Na -6.583 -4.457 -4.121
Na -11.308 0.346 0.347
Na -6.071 -1.257 1.725
Na -5.593 4.546 -5.314
Na -4.537 4.159 -1.879
Na -12.682 0.849 -4.123
Na -4.055 -1.921 -4.613
Na -8.241 -2.968 -0.969
Na -9.392 4.148 -4.763
Na -8.018 3.645 -0.294
Tl -7.255 -1.097 -3.536
Tl -9.516 0.846 -5.142
Tl -10.492 -1.090 -2.540
Tl -5.704 5.818 0.667
Tl -2.258 2.094 -0.812
Tl -8.117 0.334 -0.590
Tl -4.425 2.888 -7.860
Tl -6.680 -4.450 1.553
Tl -7.141 2.270 -3.192
Tl -11.516 0.776 3.628
Tl -7.871 6.611 -6.381
Tl -3.497 -0.305 -7.383
Tl -7.819 4.483 2.909
Tl -7.141 -6.073 -1.351
Tl -1.953 -0.870 -2.361
Tl -10.378 2.278 -2.196
Tl -8.685 -5.507 -6.373
Tl -2.983 -0.743 0.834
K -4.917 2.355 1.777
K -4.345 -3.545 -1.199
K -6.293 -2.832 -7.535
K -2.891 2.004 -4.529
K -9.582 -2.322 2.685
K -7.239 6.702 -2.664
Zn 0.000 0.000 0.000
```

Summary:
Symmetry: Pm-3, No. 200
E_tot (eV/atom): -1.894

Record 14
Crystalline HoEr3Ga2C2 at its relaxed geometry. Source: the Open Quantum Materials Database, functional PBE-GGA.

```
8
Lattice="-1.882 1.123 2.780 1.529 -3.192 0.071 12.710 6.226 6.087" Properties=species:S:1:pos:R:3 pbc="T T T"
Ga 9.915 2.911 5.534
Ga 3.179 1.557 1.522
Ho 11.601 5.682 5.556
C 5.610 2.797 4.920
C -0.739 -0.312 1.880
Er 5.635 0.815 3.485
Er 1.513 -1.205 1.510
Er 7.460 3.654 3.573
```

Summary:
Magnetization (μB per formula unit): 0.514
Symmetry: P3m1, No. 156
E_tot (eV/atom): -5.726

Record 15
Crystalline MgPAuO at its relaxed geometry. Source: the Open Quantum Materials Database, functional PBE-GGA.

```
8
Lattice="3.353 0.000 0.000 0.000 7.106 0.000 0.000 0.000 5.396" Properties=species:S:1:pos:R:3 pbc="T T T"
P 0.000 6.820 2.457
P 0.000 0.286 5.155
O 1.676 2.944 2.683
O 1.676 4.162 5.381
Au 1.676 1.950 5.015
Au 1.676 5.156 2.317
Mg 0.000 2.309 2.007
Mg 0.000 4.797 4.705
```

Summary:
Symmetry: Pmc2_1, No. 26
ΔE to the lowest computed polymorph (eV per atom): 0.178

Record 16
Crystalline NbSiMo at its relaxed geometry. Source: the Open Quantum Materials Database, functional PBE-GGA.

```
3
Lattice="0.000 2.976 2.976 2.976 0.000 2.976 2.976 2.976 0.000" Properties=species:S:1:pos:R:3 pbc="T T T"
Si 0.000 0.000 0.000
Mo 1.488 1.488 1.488
Nb 4.464 4.464 4.464
```

Summary:
Magnetization (μB per formula unit): 0.012
Symmetry: F-43m, No. 216
E_tot (eV/atom): -8.648

Record 17
Crystalline Gd2MgAl3Ni2 at its relaxed geometry. Source: the Open Quantum Materials Database, functional PBE-GGA.

```
8
Lattice="5.035 -2.066 0.000 5.035 2.066 0.000 -0.023 0.000 7.137" Properties=species:S:1:pos:R:3 pbc="T T T"
Mg 8.536 0.000 0.374
Ni 2.795 0.000 1.870
Ni 7.174 0.000 5.288
Gd 5.658 0.000 1.805
Gd 4.432 0.000 5.290
Al 1.562 0.000 6.732
Al 8.465 0.000 3.205
Al 1.565 0.000 3.986
```

Summary:
Magnetization (μB per formula unit): 0.000
Symmetry: Cm, No. 8
E_tot (eV/atom): -4.670

Record 18
Crystalline UTaPd at its relaxed geometry. Source: the Open Quantum Materials Database, functional PBE-GGA.

```
3
Lattice="-3.442 0.961 2.817 -3.874 1.728 -1.647 -3.775 -2.540 -0.071" Properties=species:S:1:pos:R:3 pbc="T T T"
Pd 0.000 0.000 0.000
U -8.318 0.112 0.824
Ta -2.773 0.037 0.275
```

Summary:
Magnetization (μB per formula unit): 2.830
Symmetry: F-43m, No. 216
ΔE to the lowest computed polymorph (eV per atom): 0.000
Calculated formation energy (meV per atom): 653

Record 19
Crystalline ZnBAsO at its relaxed geometry. Source: the Open Quantum Materials Database, functional PBE-GGA.

```
8
Lattice="-0.866 -2.130 -3.021 2.936 -2.282 0.767 -5.026 -4.837 4.850" Properties=species:S:1:pos:R:3 pbc="T T T"
Zn -3.172 -7.855 2.868
Zn 0.216 -1.393 -0.272
B -0.528 -4.662 2.245
B -2.429 -4.586 0.351
As -0.285 -5.076 0.082
As -2.672 -4.172 2.514
O 0.085 -2.168 -2.074
O 1.985 -2.244 -0.180
```

Summary:
Symmetry: P4/nmm, No. 129
ΔE to the lowest computed polymorph (eV per atom): 0.718

Record 20
Crystalline Nd2SmS3 at its relaxed geometry. Source: the Open Quantum Materials Database, functional PBE-GGA.

```
6
Lattice="-3.883 0.932 -0.628 0.975 -3.005 2.522 0.324 6.434 7.540" Properties=species:S:1:pos:R:3 pbc="T T T"
Nd -1.994 4.974 6.696
Nd -0.590 -0.613 2.737
S 0.000 0.000 0.000
S -0.430 2.568 6.465
S -2.154 1.793 2.969
Sm 0.162 3.217 3.770
```

Summary:
Magnetization (μB per formula unit): 0.000
Symmetry: P-3m1, No. 164
E_tot (eV/atom): -6.465

Record 21
Crystalline Dy4Lu3Te2Pd2 at its relaxed geometry. Source: the Open Quantum Materials Database, functional PBE-GGA.

```
11
Lattice="-1.962 7.760 4.801 1.962 -7.760 4.801 1.962 7.760 -4.801" Properties=species:S:1:pos:R:3 pbc="T T T"
Dy 0.000 2.229 2.561
Dy 0.000 5.745 4.006
Dy 1.962 5.531 -2.240
Dy 1.962 2.015 -0.795
Lu 0.000 2.826 6.004
Lu 1.962 4.934 1.203
Lu 0.000 7.760 0.003
Te 0.000 0.000 7.324
Te 1.962 0.000 1.572
Pd 1.962 -3.649 4.168
Pd 1.962 3.649 4.168
```

Summary:
Magnetization (μB per formula unit): 0.017
Symmetry: Imm2, No. 44
ΔE to the lowest computed polymorph (eV per atom): 0.000